Record 1
DFT (PBE) results for a relaxed MnCo3Cl crystal.

a b c (Å): 4.0914 4.0914 4.0914
angles (deg): 90.00 90.00 90.00
Last column: nearest neighbours and their distance in Å.
Space group Pm-3m (No. 221)
Symmetry-distinct sites (fractional):
Mn1 0.0000 0.0000 0.0000  12 Co 2.89
Co1 0.0000 0.5000 0.5000  2 Cl 2.05
Cl1 0.5000 0.5000 0.5000  6 Co 2.05

- ρ (g cm⁻³) = 6.48
- uncorrected formation energy (eV per atom) = 0.75
- E above lowest polymorph (kJ/mol of formula units) = 0
- DOS(E_F) (states/eV/f.u.) = 8.845
- crystal system = cubic
- final energy (eV/atom) = -5.7155

---

Record 2
DFT (PBE) results for a relaxed Rb3Er2MgSe6 crystal.

a b c (Å): 7.1965 12.4651 8.3904
angles (deg): 90.00 106.61 90.00
Last column: nearest neighbours and their distance in Å.
Space group C2/m (No. 12)
Symmetry-distinct sites (fractional):
Rb1 0.0000 0.0000 0.0000  6 Se 3.44-3.46
Rb2 0.0000 0.3331 0.0000  6 Se 3.44-3.46
Er1 0.0000 0.1666 0.5000  6 Se 2.86
Mg1 0.0000 0.5000 0.5000  6 Se 2.83-2.84
Se1 0.2291 0.3349 0.6922  1 Mg 2.83, 2 Er 2.86
Se2 0.2339 0.0000 0.6925  1 Mg 2.84, 2 Er 2.86

- ρ (g cm⁻³) = 5.01
- uncorrected formation energy (eV per atom) = -1.44
- DOS(E_F) (states/eV/f.u.) = 9.055
- crystal system = monoclinic
- final energy (eV/atom) = -4.3199

---

Record 3
DFT (PBE) results for a relaxed LaRe crystal.

a b c (Å): 5.4267 5.4267 16.0294
angles (deg): 90.00 90.00 120.00
Last column: nearest neighbours and their distance in Å.
Space group R-3m (No. 166, hexagonal axes)
Symmetry-distinct sites (fractional):
La1 0.0000 0.0000 0.0000  6 Re 3.10, 6 La 3.26
La2 0.0000 0.0000 0.3884  6 Re 3.25, 7 La 3.26-3.60
Re1 0.0000 0.5000 0.5000  4 Re 2.71

- ρ (g cm⁻³) = 11.89
- energy of formation (eV/atom) = 0.25
- E above lowest polymorph (kJ/mol of formula units) = 19
- DOS(E_F) (states/eV/f.u.) = 1.676
- crystal system = trigonal
- final energy (eV/atom) = -8.4393

---

Record 4
DFT (PBE) results for a relaxed TmZr3Zn4 crystal.

a b c (Å): 4.7820 4.7820 23.4216
angles (deg): 90.00 90.00 120.00
Last column: nearest neighbours and their distance in Å.
Space group R-3m (No. 166, hexagonal axes)
Symmetry-distinct sites (fractional):
Tm1 0.0000 0.0000 0.0000  8 Zn 2.93
Zr1 0.0000 0.0000 0.2478  8 Zn 2.87-2.98
Zr2 0.0000 0.0000 0.5000  8 Zn 2.92-2.93
Zn1 0.0000 0.0000 0.1253  7 Zr 2.87-2.93, 1 Tm 2.93
Zn2 0.0000 0.0000 0.3752  5 Zr 2.92-2.98, 3 Tm 2.93

- ρ (g cm⁻³) = 7.56
- energy of formation (eV/atom) = -0.27
- DOS(E_F) (states/eV/f.u.) = 7.630
- crystal system = trigonal
- final energy (eV/atom) = -4.6677

---

Record 5
DFT (PBE) results for a relaxed RbPrNpO6 crystal.

a b c (Å): 6.0990 6.0990 5.8709
angles (deg): 90.00 90.00 120.00
Last column: nearest neighbours and their distance in Å.
Space group P312 (No. 149)
Symmetry-distinct sites (fractional):
Rb1 0.0000 0.0000 0.0000  6 O 2.98
Pr1 0.3333 0.6667 0.5000  6 O 2.39
Np1 0.6667 0.3333 0.5000  6 O 2.00
O1 0.4054 0.0465 0.6861  1 Np 2.00

- ρ (g cm⁻³) = 4.91
- uncorrected formation energy (eV per atom) = -2.43
- DOS(E_F) (states/eV/f.u.) = 9.119
- crystal system = trigonal
- final energy (eV/atom) = -7.8099

---

Record 6
DFT (PBE) results for a relaxed PmDyI6 crystal.

a b c (Å): 7.5540 14.7204 7.5556
angles (deg): 90.00 108.23 90.00
Last column: nearest neighbours and their distance in Å.
Space group C2/m (No. 12)
Symmetry-distinct sites (fractional):
Pm1 0.0000 0.0000 0.0000  6 I 3.09-3.12
Dy1 0.0000 0.5000 0.5000  6 I 3.03-3.05
I1 0.2444 0.3543 0.7440  1 Dy 3.05, 1 Pm 3.12
I2 0.2473 0.5000 0.2526  1 Dy 3.03, 1 Pm 3.09

- ρ (g cm⁻³) = 4.45
- uncorrected formation energy (eV per atom) = -1.36
- E above lowest polymorph (kJ/mol of formula units) = 0
- DOS(E_F) (states/eV/f.u.) = 0.000
- crystal system = monoclinic
- final energy (eV/atom) = -3.6934

---

Which of these has the lowest DOS(E_F)? PmDyI6

---

Among the records above, which one has the highest ρ? LaRe